[1]
# Th2ZrAl3 PBE optimized geometry
# D(E_F) (states/eV/cell): 20.564
# Total magnetization (μB per formula unit): 0.0
# ΔH_f (0 K) (eV per atom): -0.088
# Polymorph energy (0 for the lowest one) (meV/atom): 297
data_Th2ZrAl3
_symmetry_space_group_name_H-M 'C m c m'
_symmetry_Int_Tables_number 63
_symmetry_space_group_name_Hall '-C 2c 2'
_cell_length_a 13.435
_cell_length_b 9.171
_cell_length_c 5.013
_cell_angle_alpha 90.00
_cell_angle_beta 90.00
_cell_angle_gamma 90.00
loop_
_atom_site_label
_atom_site_type_symbol
_atom_site_fract_x
_atom_site_fract_y
_atom_site_fract_z
Th1 Th 0.140 0.189 0.250
Zr1 Zr 0.000 0.401 0.750
Al1 Al 0.000 0.088 0.750
Al2 Al 0.185 0.500 0.000

[2]
# NaAcAlGe PBE optimized geometry
# D(E_F) (states/eV/cell): 10.736
# Total magnetization (μB per formula unit): 0.0
# ΔH_f (0 K) (eV per atom): -0.126
data_NaAcAlGe
_symmetry_space_group_name_H-M 'F -4 3 m'
_symmetry_Int_Tables_number 216
_symmetry_space_group_name_Hall 'F -4 2 3'
_cell_length_a 7.561
_cell_length_b 7.561
_cell_length_c 7.561
_cell_angle_alpha 90.00
_cell_angle_beta 90.00
_cell_angle_gamma 90.00
loop_
_atom_site_label
_atom_site_type_symbol
_atom_site_fract_x
_atom_site_fract_y
_atom_site_fract_z
Na1 Na 0.000 0.000 0.000
Ac1 Ac 0.000 0.000 0.500
Al1 Al 0.250 0.250 0.250
Ge1 Ge 0.250 0.250 0.750

[3]
# SiP2Se PBE optimized geometry
# ΔE_f (raw) (meV/atom): 200.3
# D(E_F) (states/eV/cell): 4.266
# Total magnetization (μB per formula unit): 0.0
# Polymorph energy (0 for the lowest one) (meV/atom): 253
data_SiP2Se
_symmetry_space_group_name_H-M 'C 1 m 1'
_symmetry_Int_Tables_number 8
_cell_length_a 10.889
_cell_length_b 3.626
_cell_length_c 3.747
_cell_angle_alpha 90.00
_cell_angle_beta 108.65
_cell_angle_gamma 90.00
loop_
_symmetry_equiv_pos_as_xyz
'x,y,z'
'x,-y,z'
'x+1/2,y+1/2,z'
'x+1/2,-y+1/2,z'
loop_
_atom_site_label
_atom_site_type_symbol
_atom_site_fract_x
_atom_site_fract_y
_atom_site_fract_z
Si1 Si 0.000 0.000 0.000
P1 P 0.256 0.000 0.203
P2 P 0.479 0.000 0.406
Se1 Se 0.255 0.500 0.700

[4]
# Na5Cd4Pb2 PBE optimized geometry
# D(E_F) (states/eV/cell): 10.009
# Total magnetization (μB per formula unit): 0.0
# ΔH_f (0 K) (eV per atom): -0.033
data_Na5Cd4Pb2
_symmetry_space_group_name_H-M 'C 1 2/m 1'
_symmetry_Int_Tables_number 12
_cell_length_a 12.009
_cell_length_b 6.447
_cell_length_c 9.455
_cell_angle_alpha 90.00
_cell_angle_beta 120.67
_cell_angle_gamma 90.00
loop_
_symmetry_equiv_pos_as_xyz
'x,y,z'
'-x,-y,-z'
'-x,y,-z'
'x,-y,z'
'x+1/2,y+1/2,z'
'-x+1/2,-y+1/2,-z'
'-x+1/2,y+1/2,-z'
'x+1/2,-y+1/2,z'
loop_
_atom_site_label
_atom_site_type_symbol
_atom_site_fract_x
_atom_site_fract_y
_atom_site_fract_z
Na1 Na 0.000 0.000 0.000
Na2 Na 0.005 0.247 0.327
Cd1 Cd 0.227 0.500 0.984
Cd2 Cd 0.234 0.500 0.659
Pb1 Pb 0.242 0.500 0.318

[5]
# LaTmZn2In2 PBE optimized geometry
# D(E_F) (states/eV/cell): 3.766
# Total magnetization (μB per formula unit): 0.0
# ΔH_f (0 K) (eV per atom): -0.448
data_LaTmZn2In2
_symmetry_space_group_name_H-M 'P -3 m 1'
_symmetry_Int_Tables_number 164
_symmetry_space_group_name_Hall '-P 3 2"'
_cell_length_a 4.7048
_cell_length_b 4.7048
_cell_length_c 7.5573
_cell_angle_alpha 90.00
_cell_angle_beta 90.00
_cell_angle_gamma 120.00
loop_
_atom_site_label
_atom_site_type_symbol
_atom_site_fract_x
_atom_site_fract_y
_atom_site_fract_z
La1 La 0.0000 0.0000 0.0000
Tm1 Tm 0.0000 0.0000 0.5000
Zn1 Zn 0.3333 0.6667 0.2938
In1 In 0.3333 0.6667 0.7293

[6]
# BeRe2Si PBE optimized geometry
# ΔE_f (raw) (meV/atom): -140.5
# D(E_F) (states/eV/cell): 3.283
# Total magnetization (μB per formula unit): 0.0
data_BeRe2Si
_symmetry_space_group_name_H-M 'A m m 2'
_symmetry_Int_Tables_number 38
_cell_length_a 3.962
_cell_length_b 2.929
_cell_length_c 8.634
_cell_angle_alpha 90.00
_cell_angle_beta 90.00
_cell_angle_gamma 90.00
loop_
_symmetry_equiv_pos_as_xyz
'x,y,z'
'-x,-y,z'
'-x,y,z'
'x,-y,z'
'x,y+1/2,z+1/2'
'-x,-y+1/2,z+1/2'
'-x,y+1/2,z+1/2'
'x,-y+1/2,z+1/2'
loop_
_atom_site_label
_atom_site_type_symbol
_atom_site_fract_x
_atom_site_fract_y
_atom_site_fract_z
Be1 Be 0.000 0.000 0.000
Re1 Re 0.000 0.000 0.271
Re2 Re 0.500 0.000 0.565
Si1 Si 0.500 0.000 0.841

[7]
# La2NbTe PBE optimized geometry
# ΔE_f (raw) (meV/atom): 29.9
# D(E_F) (states/eV/cell): 15.390
# Total magnetization (μB per formula unit): 0.9
data_La2NbTe
_symmetry_space_group_name_H-M 'I -4 2 d'
_symmetry_Int_Tables_number 122
_symmetry_space_group_name_Hall 'I -4 2bw'
_cell_length_a 8.492
_cell_length_b 8.492
_cell_length_c 6.245
_cell_angle_alpha 90.00
_cell_angle_beta 90.00
_cell_angle_gamma 90.00
loop_
_atom_site_label
_atom_site_type_symbol
_atom_site_fract_x
_atom_site_fract_y
_atom_site_fract_z
La1 La 0.198 0.750 0.125
Nb1 Nb 0.000 0.000 0.000
Te1 Te 0.000 0.000 0.500

[8]
# Dy2ErTe4 PBE optimized geometry
# ΔE_f (raw) (meV/atom): -1321.7
# D(E_F) (states/eV/cell): 11.913
# Total magnetization (μB per formula unit): 0.0
# Polymorph energy (0 for the lowest one) (meV/atom): 49
data_Dy2ErTe4
_symmetry_space_group_name_H-M 'C m c m'
_symmetry_Int_Tables_number 63
_symmetry_space_group_name_Hall '-C 2c 2'
_cell_length_a 4.216
_cell_length_b 14.296
_cell_length_c 14.935
_cell_angle_alpha 90.00
_cell_angle_beta 90.00
_cell_angle_gamma 90.00
loop_
_atom_site_label
_atom_site_type_symbol
_atom_site_fract_x
_atom_site_fract_y
_atom_site_fract_z
Dy1 Dy 0.000 0.131 0.070
Er1 Er 0.000 0.371 0.250
Te1 Te 0.000 0.029 0.250
Te2 Te 0.000 0.220 0.623
Te3 Te 0.000 0.500 0.000

[9]
# ErScZn4 PBE optimized geometry
# D(E_F) (states/eV/cell): 3.933
# Total magnetization (μB per formula unit): 0.0
# ΔH_f (0 K) (eV per atom): -0.360
# Polymorph energy (0 for the lowest one) (meV/atom): 1
data_ErScZn4
_symmetry_space_group_name_H-M 'P m m m'
_symmetry_Int_Tables_number 47
_cell_length_a 3.312
_cell_length_b 4.427
_cell_length_c 7.642
_cell_angle_alpha 90.00
_cell_angle_beta 90.00
_cell_angle_gamma 90.00
loop_
_symmetry_equiv_pos_as_xyz
'x,y,z'
'-x,-y,-z'
'-x,-y,z'
'x,y,-z'
'x,-y,-z'
'-x,y,z'
'-x,y,-z'
'x,-y,z'
loop_
_atom_site_label
_atom_site_type_symbol
_atom_site_fract_x
_atom_site_fract_y
_atom_site_fract_z
Er1 Er 0.000 0.000 0.000
Sc1 Sc 0.000 0.500 0.500
Zn1 Zn 0.500 0.000 0.338
Zn2 Zn 0.500 0.500 0.173

[10]
# Ta2PAu PBE optimized geometry
# D(E_F) (states/eV/cell): 18.445
# Total magnetization (μB per formula unit): 0.0
# ΔH_f (0 K) (eV per atom): 0.523
data_Ta2PAu
_symmetry_space_group_name_H-M 'F -4 3 m'
_symmetry_Int_Tables_number 216
_symmetry_space_group_name_Hall 'F -4 2 3'
_cell_length_a 6.528
_cell_length_b 6.528
_cell_length_c 6.528
_cell_angle_alpha 90.00
_cell_angle_beta 90.00
_cell_angle_gamma 90.00
loop_
_atom_site_label
_atom_site_type_symbol
_atom_site_fract_x
_atom_site_fract_y
_atom_site_fract_z
Ta1 Ta 0.000 0.000 0.000
Ta2 Ta 0.250 0.250 0.250
P1 P 0.250 0.250 0.750
Au1 Au 0.000 0.000 0.500

[11]
# HoSiPd4 PBE optimized geometry
# ΔE_f (raw) (meV/atom): -777.6
# D(E_F) (states/eV/cell): 1.763
# Total magnetization (μB per formula unit): 0.0
data_HoSiPd4
_symmetry_space_group_name_H-M 'P m m a'
_symmetry_Int_Tables_number 51
_cell_length_a 7.731
_cell_length_b 3.835
_cell_length_c 6.889
_cell_angle_alpha 90.00
_cell_angle_beta 90.00
_cell_angle_gamma 90.00
loop_
_symmetry_equiv_pos_as_xyz
'x,y,z'
'-x,-y,-z'
'-x+1/2,-y,z'
'x+1/2,y,-z'
'x+1/2,-y,-z'
'-x+1/2,y,z'
'-x,y,-z'
'x,-y,z'
loop_
_atom_site_label
_atom_site_type_symbol
_atom_site_fract_x
_atom_site_fract_y
_atom_site_fract_z
Ho1 Ho 0.250 0.000 0.134
Si1 Si 0.250 0.000 0.707
Pd1 Pd 0.000 0.000 0.500
Pd2 Pd 0.063 0.500 0.808
Pd3 Pd 0.250 0.500 0.445

[12]
# Cs3PaCd2O6 PBE optimized geometry
# ΔE_f (raw) (meV/atom): -1868.4
# D(E_F) (states/eV/cell): 0.000
# Total magnetization (μB per formula unit): 0.0
data_Cs3PaCd2O6
_symmetry_space_group_name_H-M 'P -3 m 1'
_symmetry_Int_Tables_number 164
_symmetry_space_group_name_Hall '-P 3 2"'
_cell_length_a 6.6326
_cell_length_b 6.6326
_cell_length_c 7.8048
_cell_angle_alpha 90.00
_cell_angle_beta 90.00
_cell_angle_gamma 120.00
loop_
_atom_site_label
_atom_site_type_symbol
_atom_site_fract_x
_atom_site_fract_y
_atom_site_fract_z
Cs1 Cs 0.0000 0.0000 0.0000
Cs2 Cs 0.3333 0.6667 0.7343
Pa1 Pa 0.0000 0.0000 0.5000
Cd1 Cd 0.3333 0.6667 0.3035
O1 O 0.1505 0.3010 0.3265

Q: What is the D(E_F) in the sixth record?
A: 3.283 states/eV/cell

Q: The highest D(E_F) belongs to which entry?
A: Th2ZrAl3